No. 1
Compound: OsPtW2
Source: Alexandria
Functional: PBE
Structure: optimized geometry

Calculated values
**Total energy**: -87.1 eV/cell
**Mass density**: 20.32 g cm⁻³
**Energy of formation from the pure elements**: -0.098 eV per atom

abc: 5.566 7.893 2.801
angles: 90.00 90.00 90.00
Space group Cmmm (No. 65)
Unique sites:
Os 0.000 0.000 0.000
Pt 0.000 0.500 0.000
W 0.250 0.250 0.500

No. 2
Compound: Os2PtW
Source: Alexandria
Functional: PBE
Structure: optimized geometry

Calculated values
**Total energy**: -83.1 eV/cell
**Mass density**: 21.09 g cm⁻³
**Energy of formation from the pure elements**: -0.022 eV per atom

abc: 3.898 3.898 7.869
angles: 90.00 90.00 90.00
Space group I-4m2 (No. 119)
Unique sites:
Os 0.000 0.000 0.000
Os 0.000 0.500 0.250
Pt 0.000 0.500 0.750
W 0.000 0.000 0.500

No. 3
Compound: OsPt2W
Source: Alexandria
Functional: PBE
Structure: optimized geometry

Calculated values
**Total energy**: -36.7 eV/cell
**Mass density**: 20.72 g cm⁻³
**Energy of formation from the pure elements**: -0.096 eV per atom

abc: 2.752 3.964 5.615
angles: 90.00 90.00 90.00
Space group Pmm2 (No. 25)
Unique sites:
Os 0.000 0.000 0.000
Pt 0.000 0.000 0.510
Pt 0.500 0.500 0.251
W 0.500 0.500 0.766

No. 4
Compound: Os2PtW
Source: Alexandria
Functional: PBE
Structure: optimized geometry

Calculated values
**Total energy**: -160.3 eV/cell
**Mass density**: 20.60 g cm⁻³
**Energy of formation from the pure elements**: 0.347 eV per atom

abc: 6.256 6.256 6.256
angles: 90.00 90.00 90.00
Space group Fm-3m (No. 225)
Unique sites:
Os 0.250 0.250 0.250
Pt 0.000 0.000 0.000
W 0.000 0.000 0.500